Material: LiPmSi2Pt7
Method: DFT, PBE
State: optimized geometry

Values from the calculation:
* ΔE_f (raw): -616 meV per atom
* volume: 16.1 Å³ per atom
* D(E_F): 0.215 states/eV per atom
* total magnetization: 0.000 μB per formula unit

CIF file:
```
data_LiPmSi2Pt7
_chemical_formula_sum 'Li2 Pm2 Si4 Pt14'
_cell_length_a 4.203
_cell_length_b 4.203
_cell_length_c 20.061
_cell_angle_alpha 90.00
_cell_angle_beta 90.00
_cell_angle_gamma 90.00
_symmetry_space_group_name_H-M 'I -4 m 2'
_symmetry_Int_Tables_number 119
_symmetry_space_group_name_Hall 'I -4 -2'
loop_
_atom_site_label
_atom_site_type_symbol
_atom_site_fract_x
_atom_site_fract_y
_atom_site_fract_z
Li1 Li 0.000 0.000 0.000
Pm1 Pm 0.000 0.500 0.750
Si1 Si 0.000 0.500 0.077
Pt1 Pt 0.000 0.000 0.141
Pt2 Pt 0.000 0.000 0.360
Pt3 Pt 0.000 0.500 0.250
Pt4 Pt 0.000 0.500 0.541
```